No. 1
# GGA-PBE TlTc2Pb, relaxed
data_TlTc2Pb
_symmetry_space_group_name_H-M 'C 1 2/m 1'
_symmetry_Int_Tables_number 12
_symmetry_space_group_name_Hall '-C 2y'
_cell_length_a 10.478
_cell_length_b 3.334
_cell_length_c 6.077
_cell_angle_alpha 90.00
_cell_angle_beta 117.51
_cell_angle_gamma 90.00
loop_
_atom_site_label
_atom_site_fract_x
_atom_site_fract_y
_atom_site_fract_z
_atom_site_occupancy
Tl1 0.000 0.000 0.000 1
Tc1 0.242 0.000 0.855 1
Pb1 0.000 0.500 0.500 1
# Crystal system: monoclinic
# Energy above the most stable polymorph in this dataset in meV per atom: 432.3
# Formation energy in eV per atom: 0.752


No. 2
# GGA-PBE TlTcPb2, relaxed
data_TlTcPb2
_symmetry_space_group_name_H-M 'P m m m'
_symmetry_Int_Tables_number 47
_symmetry_space_group_name_Hall '-P 2 2'
_cell_length_a 3.409
_cell_length_b 5.465
_cell_length_c 5.468
_cell_angle_alpha 90.00
_cell_angle_beta 90.00
_cell_angle_gamma 90.00
loop_
_atom_site_label
_atom_site_fract_x
_atom_site_fract_y
_atom_site_fract_z
_atom_site_occupancy
Tl1 0.000 0.000 0.000 1
Tc1 0.500 0.500 0.000 1
Pb1 0.000 0.500 0.500 1
Pb2 0.500 0.000 0.500 1
# Crystal system: orthorhombic
# Energy above the most stable polymorph in this dataset in meV per atom: 388.6
# Formation energy in eV per atom: 0.760


No. 3
# GGA-PBE TlTcPb, relaxed
data_TlTcPb
_symmetry_space_group_name_H-M 'F -4 3 m'
_symmetry_Int_Tables_number 216
_symmetry_space_group_name_Hall 'F -4 2 3'
_cell_length_a 6.637
_cell_length_b 6.637
_cell_length_c 6.637
_cell_angle_alpha 90.00
_cell_angle_beta 90.00
_cell_angle_gamma 90.00
loop_
_atom_site_label
_atom_site_fract_x
_atom_site_fract_y
_atom_site_fract_z
_atom_site_occupancy
Tl1 0.000 0.000 0.000 1
Tc1 0.250 0.250 0.750 1
Pb1 0.000 0.000 0.500 1
# Crystal system: cubic
# Energy above the most stable polymorph in this dataset in meV per atom: 99.4
# Formation energy in eV per atom: 0.749


No. 4
# GGA-PBE TlTcPb2, relaxed
data_TlTcPb2
_symmetry_space_group_name_H-M 'I m m m'
_symmetry_Int_Tables_number 71
_symmetry_space_group_name_Hall '-I 2 2'
_cell_length_a 3.186
_cell_length_b 4.789
_cell_length_c 13.852
_cell_angle_alpha 90.00
_cell_angle_beta 90.00
_cell_angle_gamma 90.00
loop_
_atom_site_label
_atom_site_fract_x
_atom_site_fract_y
_atom_site_fract_z
_atom_site_occupancy
Tl1 0.000 0.000 0.000 1
Tc1 0.000 0.000 0.500 1
Pb1 0.000 0.500 0.178 1
# Crystal system: orthorhombic
# Energy above the most stable polymorph in this dataset in meV per atom: 52.6
# Formation energy in eV per atom: 0.424


No. 5
# GGA-PBE TlTcPb2, relaxed
data_TlTcPb2
_symmetry_space_group_name_H-M 'I 4/m m m'
_symmetry_Int_Tables_number 139
_symmetry_space_group_name_Hall '-I 4 2'
_cell_length_a 4.704
_cell_length_b 4.704
_cell_length_c 9.140
_cell_angle_alpha 90.00
_cell_angle_beta 90.00
_cell_angle_gamma 90.00
loop_
_atom_site_label
_atom_site_fract_x
_atom_site_fract_y
_atom_site_fract_z
_atom_site_occupancy
Tl1 0.000 0.000 0.000 1
Tc1 0.000 0.000 0.500 1
Pb1 0.000 0.500 0.250 1
# Crystal system: tetragonal
# Energy above the most stable polymorph in this dataset in meV per atom: 336.4
# Formation energy in eV per atom: 0.708


No. 6
# GGA-PBE TlTcPb2, relaxed
data_TlTcPb2
_symmetry_space_group_name_H-M 'A m m 2'
_symmetry_Int_Tables_number 38
_symmetry_space_group_name_Hall 'A 2 -2'
_cell_length_a 4.845
_cell_length_b 3.694
_cell_length_c 10.875
_cell_angle_alpha 90.00
_cell_angle_beta 90.00
_cell_angle_gamma 90.00
loop_
_atom_site_label
_atom_site_fract_x
_atom_site_fract_y
_atom_site_fract_z
_atom_site_occupancy
Tl1 0.000 0.000 0.000 1
Tc1 0.500 0.000 0.860 1
Pb1 0.000 0.000 0.275 1
Pb2 0.500 0.000 0.585 1
# Crystal system: orthorhombic
# Energy above the most stable polymorph in this dataset in meV per atom: 230.8
# Formation energy in eV per atom: 0.602


No. 7
# GGA-PBE TlTcPb, relaxed
data_TlTcPb
_symmetry_space_group_name_H-M 'P 3 m 1'
_symmetry_Int_Tables_number 156
_symmetry_space_group_name_Hall 'P 3 -2"'
_cell_length_a 3.3162
_cell_length_b 3.3162
_cell_length_c 7.2303
_cell_angle_alpha 90.00
_cell_angle_beta 90.00
_cell_angle_gamma 120.00
loop_
_atom_site_label
_atom_site_fract_x
_atom_site_fract_y
_atom_site_fract_z
_atom_site_occupancy
Tl1 0.0000 0.0000 0.0000 1
Tc1 0.6667 0.3333 0.7001 1
Pb1 0.3333 0.6667 0.4087 1
# Crystal system: trigonal
# Energy above the most stable polymorph in this dataset in meV per atom: 0.0
# Formation energy in eV per atom: 0.649


No. 8
# GGA-PBE TlTc2Pb, relaxed
data_TlTc2Pb
_symmetry_space_group_name_H-M 'F m -3 m'
_symmetry_Int_Tables_number 225
_symmetry_space_group_name_Hall '-F 4 2 3'
_cell_length_a 6.698
_cell_length_b 6.698
_cell_length_c 6.698
_cell_angle_alpha 90.00
_cell_angle_beta 90.00
_cell_angle_gamma 90.00
loop_
_atom_site_label
_atom_site_fract_x
_atom_site_fract_y
_atom_site_fract_z
_atom_site_occupancy
Tl1 0.000 0.000 0.000 1
Tc1 0.250 0.250 0.250 1
Pb1 0.000 0.000 0.500 1
# Crystal system: cubic
# Energy above the most stable polymorph in this dataset in meV per atom: 497.9
# Formation energy in eV per atom: 0.818


No. 9
# GGA-PBE TlTcPb2, relaxed
data_TlTcPb2
_symmetry_space_group_name_H-M 'P 4 m m'
_symmetry_Int_Tables_number 99
_symmetry_space_group_name_Hall 'P 4 -2'
_cell_length_a 3.333
_cell_length_b 3.333
_cell_length_c 8.927
_cell_angle_alpha 90.00
_cell_angle_beta 90.00
_cell_angle_gamma 90.00
loop_
_atom_site_label
_atom_site_fract_x
_atom_site_fract_y
_atom_site_fract_z
_atom_site_occupancy
Tl1 0.000 0.000 0.000 1
Tc1 0.500 0.500 0.804 1
Pb1 0.000 0.000 0.612 1
Pb2 0.500 0.500 0.297 1
# Crystal system: tetragonal
# Energy above the most stable polymorph in this dataset in meV per atom: 142.2
# Formation energy in eV per atom: 0.514


No. 10
# GGA-PBE TlTcPb2, relaxed
data_TlTcPb2
_symmetry_space_group_name_H-M 'I m m 2'
_symmetry_Int_Tables_number 44
_symmetry_space_group_name_Hall 'I 2 -2'
_cell_length_a 3.200
_cell_length_b 4.659
_cell_length_c 14.322
_cell_angle_alpha 90.00
_cell_angle_beta 90.00
_cell_angle_gamma 90.00
loop_
_atom_site_label
_atom_site_fract_x
_atom_site_fract_y
_atom_site_fract_z
_atom_site_occupancy
Tl1 0.000 0.000 0.000 1
Tc1 0.000 0.500 0.316 1
Pb1 0.000 0.000 0.641 1
Pb2 0.000 0.500 0.821 1
# Crystal system: orthorhombic
# Energy above the most stable polymorph in this dataset in meV per atom: 55.1
# Formation energy in eV per atom: 0.427


No. 11
# GGA-PBE TlTc2Pb, relaxed
data_TlTc2Pb
_symmetry_space_group_name_H-M 'I -4 m 2'
_symmetry_Int_Tables_number 119
_symmetry_space_group_name_Hall 'I -4 -2'
_cell_length_a 4.107
_cell_length_b 4.107
_cell_length_c 9.050
_cell_angle_alpha 90.00
_cell_angle_beta 90.00
_cell_angle_gamma 90.00
loop_
_atom_site_label
_atom_site_fract_x
_atom_site_fract_y
_atom_site_fract_z
_atom_site_occupancy
Tl1 0.000 0.000 0.000 1
Tc1 0.000 0.000 0.500 1
Tc2 0.000 0.500 0.250 1
Pb1 0.000 0.500 0.750 1
# Crystal system: tetragonal
# Energy above the most stable polymorph in this dataset in meV per atom: 623.9
# Formation energy in eV per atom: 0.944


No. 12
# GGA-PBE TlTcPb2, relaxed
data_TlTcPb2
_symmetry_space_group_name_H-M 'C 1 2/m 1'
_symmetry_Int_Tables_number 12
_symmetry_space_group_name_Hall '-C 2y'
_cell_length_a 6.852
_cell_length_b 8.868
_cell_length_c 3.321
_cell_angle_alpha 90.00
_cell_angle_beta 90.74
_cell_angle_gamma 90.00
loop_
_atom_site_label
_atom_site_fract_x
_atom_site_fract_y
_atom_site_fract_z
_atom_site_occupancy
Tl1 0.000 0.000 0.000 1
Tc1 0.000 0.500 0.000 1
Pb1 0.250 0.250 0.500 1
# Crystal system: monoclinic
# Energy above the most stable polymorph in this dataset in meV per atom: 331.7
# Formation energy in eV per atom: 0.703


No. 13
# GGA-PBE TlTcPb2, relaxed
data_TlTcPb2
_symmetry_space_group_name_H-M 'R -3 m'
_symmetry_Int_Tables_number 166
_symmetry_space_group_name_Hall '-R 3 2"'
_cell_length_a 3.3667
_cell_length_b 3.3667
_cell_length_c 31.4689
_cell_angle_alpha 90.00
_cell_angle_beta 90.00
_cell_angle_gamma 120.00
loop_
_atom_site_label
_atom_site_fract_x
_atom_site_fract_y
_atom_site_fract_z
_atom_site_occupancy
Tl1 0.0000 0.0000 0.0000 1
Tc1 0.0000 0.0000 0.5000 1
Pb1 0.0000 0.0000 0.2338 1
# Crystal system: trigonal
# Energy above the most stable polymorph in this dataset in meV per atom: 53.3
# Formation energy in eV per atom: 0.425


No. 14
# GGA-PBE Tm5TcPb2, relaxed
data_Tm5TcPb2
_symmetry_space_group_name_H-M 'P b a m'
_symmetry_Int_Tables_number 55
_symmetry_space_group_name_Hall '-P 2 2ab'
_cell_length_a 7.840
_cell_length_b 12.017
_cell_length_c 4.558
_cell_angle_alpha 90.00
_cell_angle_beta 90.00
_cell_angle_gamma 90.00
loop_
_atom_site_label
_atom_site_fract_x
_atom_site_fract_y
_atom_site_fract_z
_atom_site_occupancy
Tm1 0.000 0.000 0.000 1
Tm2 0.142 0.298 0.000 1
Tm3 0.185 0.567 0.500 1
Tc1 0.000 0.500 0.000 1
Pb1 0.074 0.827 0.500 1
# Crystal system: orthorhombic
# Formation energy in eV per atom: -0.323


No. 15
# GGA-PBE Tm5Tc2Pb, relaxed
data_Tm5Tc2Pb
_symmetry_space_group_name_H-M 'I 4/m c m'
_symmetry_Int_Tables_number 140
_symmetry_space_group_name_Hall '-I 4 2c'
_cell_length_a 7.442
_cell_length_b 7.442
_cell_length_c 14.899
_cell_angle_alpha 90.00
_cell_angle_beta 90.00
_cell_angle_gamma 90.00
loop_
_atom_site_label
_atom_site_fract_x
_atom_site_fract_y
_atom_site_fract_z
_atom_site_occupancy
Tm1 0.000 0.000 0.000 1
Tm2 0.174 0.326 0.132 1
Tc1 0.118 0.382 0.500 1
Pb1 0.000 0.000 0.250 1
# Crystal system: tetragonal
# Formation energy in eV per atom: -0.236


No. 16
# GGA-PBE Tm8TcPb2, relaxed
data_Tm8TcPb2
_symmetry_space_group_name_H-M 'C 1 2/m 1'
_symmetry_Int_Tables_number 12
_symmetry_space_group_name_Hall '-C 2y'
_cell_length_a 17.215
_cell_length_b 5.450
_cell_length_c 7.000
_cell_angle_alpha 90.00
_cell_angle_beta 113.97
_cell_angle_gamma 90.00
loop_
_atom_site_label
_atom_site_fract_x
_atom_site_fract_y
_atom_site_fract_z
_atom_site_occupancy
Tm1 0.001 0.000 0.261 1
Tm2 0.123 0.500 0.886 1
Tm3 0.125 0.500 0.366 1
Tm4 0.187 0.000 0.690 1
Tc1 0.000 0.500 0.500 1
Pb1 0.187 0.000 0.187 1
# Crystal system: monoclinic
# Formation energy in eV per atom: -0.209


No. 17
# GGA-PBE UTcPb, relaxed
data_UTcPb
_symmetry_space_group_name_H-M 'R -3 m'
_symmetry_Int_Tables_number 166
_symmetry_space_group_name_Hall '-R 3 2"'
_cell_length_a 4.2882
_cell_length_b 4.2882
_cell_length_c 28.7412
_cell_angle_alpha 90.00
_cell_angle_beta 90.00
_cell_angle_gamma 120.00
loop_
_atom_site_label
_atom_site_fract_x
_atom_site_fract_y
_atom_site_fract_z
_atom_site_occupancy
U1 0.0000 0.0000 0.2082 1
Tc1 0.0000 0.0000 0.1043 1
Pb1 0.0000 0.0000 0.3743 1
# Crystal system: trigonal
# Formation energy in eV per atom: 0.384


No. 18
# GGA-PBE V2TcPb, relaxed
data_V2TcPb
_symmetry_space_group_name_H-M 'I -4 2 d'
_symmetry_Int_Tables_number 122
_symmetry_space_group_name_Hall 'I -4 2bw'
_cell_length_a 7.279
_cell_length_b 7.279
_cell_length_c 5.491
_cell_angle_alpha 90.00
_cell_angle_beta 90.00
_cell_angle_gamma 90.00
loop_
_atom_site_label
_atom_site_fract_x
_atom_site_fract_y
_atom_site_fract_z
_atom_site_occupancy
V1 0.190 0.250 0.125 1
Tc1 0.000 0.000 0.000 1
Pb1 0.000 0.000 0.500 1
# Crystal system: tetragonal
# Formation energy in eV per atom: 0.644


No. 19
# GGA-PBE VTcPb3, relaxed
data_VTcPb3
_symmetry_space_group_name_H-M 'P m -3 m'
_symmetry_Int_Tables_number 221
_symmetry_space_group_name_Hall '-P 4 2 3'
_cell_length_a 5.274
_cell_length_b 5.274
_cell_length_c 5.274
_cell_angle_alpha 90.00
_cell_angle_beta 90.00
_cell_angle_gamma 90.00
loop_
_atom_site_label
_atom_site_fract_x
_atom_site_fract_y
_atom_site_fract_z
_atom_site_occupancy
V1 0.000 0.000 0.000 1
Tc1 0.500 0.500 0.500 1
Pb1 0.000 0.000 0.500 1
# Crystal system: cubic
# Formation energy in eV per atom: 1.145


No. 20
# GGA-PBE VTc2Pb, relaxed
data_VTc2Pb
_symmetry_space_group_name_H-M 'I -4 2 d'
_symmetry_Int_Tables_number 122
_symmetry_space_group_name_Hall 'I -4 2bw'
_cell_length_a 4.072
_cell_length_b 4.072
_cell_length_c 18.201
_cell_angle_alpha 90.00
_cell_angle_beta 90.00
_cell_angle_gamma 90.00
loop_
_atom_site_label
_atom_site_fract_x
_atom_site_fract_y
_atom_site_fract_z
_atom_site_occupancy
V1 0.000 0.000 0.000 1
Tc1 0.169 0.250 0.125 1
Pb1 0.000 0.000 0.500 1
# Crystal system: tetragonal
# Formation energy in eV per atom: 0.814